Entry 1:
Below is an optimized crystal structure of Ho4CdC, with properties calculated at the PBE level.

```
Ho4CdC
1.0
4.240 -6.890 0.000
4.240 6.890 0.000
-2.916 0.000 5.381
Ho Cd C
8 2 2
direct
0.065 0.662 0.858 Ho
0.156 0.256 0.682 Ho
0.256 0.156 0.182 Ho
0.338 0.935 0.642 Ho
0.662 0.065 0.358 Ho
0.744 0.844 0.818 Ho
0.844 0.744 0.318 Ho
0.935 0.338 0.142 Ho
0.387 0.613 0.250 Cd
0.613 0.387 0.750 Cd
0.072 0.928 0.750 C
0.928 0.072 0.250 C
```

***

Entry 2:
Below is an optimized crystal structure of Ho3Cd3C, with properties calculated at the PBE level.

```
Ho3Cd3C
1.0
0.000 6.745 6.745
6.745 0.000 6.745
6.745 6.745 0.000
Ho Cd C
12 12 4
direct
0.064 0.064 0.686 Ho
0.064 0.686 0.064 Ho
0.064 0.686 0.686 Ho
0.314 0.314 0.936 Ho
0.314 0.936 0.314 Ho
0.314 0.936 0.936 Ho
0.686 0.064 0.064 Ho
0.686 0.064 0.686 Ho
0.686 0.686 0.064 Ho
0.936 0.314 0.314 Ho
0.936 0.314 0.936 Ho
0.936 0.936 0.314 Ho
0.000 0.500 0.500 Cd
0.292 0.292 0.292 Cd
0.292 0.292 0.625 Cd
0.292 0.625 0.292 Cd
0.375 0.708 0.708 Cd
0.500 0.000 0.500 Cd
0.500 0.500 0.000 Cd
0.500 0.500 0.500 Cd
0.625 0.292 0.292 Cd
0.708 0.375 0.708 Cd
0.708 0.708 0.375 Cd
0.708 0.708 0.708 Cd
0.000 0.000 0.000 C
0.000 0.000 0.500 C
0.000 0.500 0.000 C
0.500 0.000 0.000 C
```

***

Entry 3:
Below is an optimized crystal structure of Ho3CdC, with properties calculated at the PBE level.

```
Ho3CdC
1.0
4.903 0.000 0.000
0.000 4.903 0.000
0.000 0.000 4.903
Ho Cd C
3 1 1
direct
0.000 0.000 0.500 Ho
0.000 0.500 0.000 Ho
0.500 0.000 0.000 Ho
0.500 0.500 0.500 Cd
0.000 0.000 0.000 C
```

***

Entry 4:
Below is an optimized crystal structure of Ho4CdC2, with properties calculated at the PBE level.

```
Ho4CdC2
1.0
1.779 1.027 14.391
-1.779 1.027 14.391
0.000 -2.054 14.391
Ho Cd C
4 1 2
direct
0.125 0.125 0.125 Ho
0.271 0.271 0.271 Ho
0.729 0.729 0.729 Ho
0.875 0.875 0.875 Ho
0.000 0.000 0.000 Cd
0.428 0.428 0.428 C
0.572 0.572 0.572 C
```

***

Entry 5:
Below is an optimized crystal structure of Ho2CdC, with properties calculated at the PBE level.

```
Ho2CdC
1.0
1.785 1.031 8.127
-1.785 1.031 8.127
0.000 -2.061 8.127
Ho Cd C
2 1 1
direct
0.222 0.222 0.222 Ho
0.778 0.778 0.778 Ho
0.000 0.000 0.000 Cd
0.500 0.500 0.500 C
```

***

Entry 6:
Below is an optimized crystal structure of Ho2CdC, with properties calculated at the PBE level.

```
Ho2CdC
1.0
-2.512 5.083 3.687
2.512 -5.083 3.687
2.512 5.083 -3.687
Ho Cd C
4 2 2
direct
0.098 0.554 0.044 Ho
0.106 0.250 0.356 Ho
0.510 0.054 0.956 Ho
0.894 0.750 0.644 Ho
0.472 0.301 0.671 Cd
0.630 0.801 0.329 Cd
0.135 0.763 0.872 C
0.892 0.263 0.128 C
```

***

Entry 7:
Below is an optimized crystal structure of Ho4Cd2C, with properties calculated at the PBE level.

```
Ho4Cd2C
1.0
-2.450 2.450 7.485
2.450 -2.450 7.485
2.450 2.450 -7.485
Ho Cd C
4 2 1
direct
0.000 0.500 0.500 Ho
0.163 0.163 0.000 Ho
0.500 0.000 0.500 Ho
0.837 0.837 0.000 Ho
0.368 0.368 0.000 Cd
0.632 0.632 0.000 Cd
0.000 0.000 0.000 C
```

***

Entry 8:
Below is an optimized crystal structure of Ho2CdC, with properties calculated at the PBE level.

```
Ho2CdC
1.0
8.301 0.000 0.000
0.000 1.757 3.046
0.000 -1.757 3.046
Ho Cd C
2 1 1
direct
0.173 0.000 0.000 Ho
0.827 0.000 0.000 Ho
0.500 0.668 0.668 Cd
0.000 0.333 0.333 C
```

***

| no. | energy of formation (eV per atom) |
| --- | --- |
| 1 | -0.1215 |
| 2 | -0.3598 |
| 3 | -0.3197 |
| 4 | -0.3002 |
| 5 | -0.3136 |
| 6 | -0.1327 |
| 7 | -0.2069 |
| 8 | -0.0665 |